[1]
A plane-wave DFT calculation with PBE was carried out for crystalline CaIn2Cl at its relaxed geometry.

The raw formation energy comes out at -77.1 kJ per mole of atoms. As for the polymorph energy (0 for the lowest one): 32 meV per atom.

It has space group R3m (No. 160, hexagonal axes), with a = 3.7313 Å, b = 3.7313 Å, c = 31.5359 Å, α = 90.00°, β = 90.00° and γ = 120.00°. Symmetry generates all atoms from Ca at (0.0000, 0.0000, 0.0000), In at (0.0000, 0.0000, 0.2522), In at (0.0000, 0.0000, 0.5063) and Cl at (0.0000, 0.0000, 0.7179).

---

[2]
A plane-wave DFT calculation with PBE was carried out for crystalline LaAsW2N at its relaxed geometry.

The raw formation energy comes out at 9.7 kJ per mole of atoms.

It has space group P4/mmm (No. 123), with a = 4.122 Å, b = 4.122 Å, c = 5.382 Å, α = 90.00°, β = 90.00° and γ = 90.00°. Symmetry generates all atoms from La at (0.000, 0.000, 0.000), As at (0.500, 0.500, 0.000), W at (0.000, 0.500, 0.500) and N at (0.500, 0.500, 0.500).

---

[3]
A plane-wave DFT calculation with PBE was carried out for crystalline Zr2CuPPt at its relaxed geometry.

The energy of formation comes out at -0.33 eV/atom. As for the polymorph energy (0 for the lowest one): 0 meV per atom.

It has space group P4/mmm (No. 123), with a = 4.889 Å, b = 4.889 Å, c = 4.101 Å, α = 90.00°, β = 90.00° and γ = 90.00°. Symmetry generates all atoms from Zr at (0.000, 0.500, 0.000), Cu at (0.000, 0.000, 0.500), P at (0.000, 0.000, 0.000) and Pt at (0.500, 0.500, 0.500).

---

[4]
A plane-wave DFT calculation with PBE was carried out for crystalline NdPAu at its relaxed geometry.

The energy of formation comes out at -0.68 eV/atom.

It has space group R3m (No. 160, hexagonal axes), with a = 5.1878 Å, b = 5.1878 Å, c = 8.8736 Å, α = 90.00°, β = 90.00° and γ = 120.00°. Symmetry generates all atoms from Nd at (0.0000, 0.0000, 0.0000), P at (0.0000, 0.0000, 0.6830) and Au at (0.0000, 0.0000, 0.4054).

---

Volume? In order: 127, 91, 98, 69 Å³/f.u..
Total DFT energy (no corrections)? In order: -3.1300, -8.6607, -6.8597, -5.1630 eV/atom.